Tl3Cu: relaxed, PBE.

CIF file:
```
data_Tl3Cu
_cell_length_a 4.603
_cell_length_b 4.918
_cell_length_c 9.134
_cell_angle_alpha 90.00
_cell_angle_beta 90.00
_cell_angle_gamma 90.00
_symmetry_space_group_name_H-M 'C m m m'
_symmetry_Int_Tables_number 65
_symmetry_space_group_name_Hall '-C 2 2'
loop_
_atom_site_label
_atom_site_fract_x
_atom_site_fract_y
_atom_site_fract_z
Tl1 0.000 0.000 0.000
Tl2 0.000 0.500 0.305
Cu1 0.000 0.000 0.500
```


TlCu4: relaxed, PBE.

CIF file:
```
data_TlCu4
_cell_length_a 4.858
_cell_length_b 4.858
_cell_length_c 4.858
_cell_angle_alpha 90.00
_cell_angle_beta 90.00
_cell_angle_gamma 90.00
_symmetry_space_group_name_H-M 'P m -3 m'
_symmetry_Int_Tables_number 221
_symmetry_space_group_name_Hall '-P 4 2 3'
loop_
_atom_site_label
_atom_site_fract_x
_atom_site_fract_y
_atom_site_fract_z
Tl1 0.000 0.000 0.000
Cu1 0.000 0.000 0.500
Cu2 0.500 0.500 0.500
```

ΔE to the lowest computed polymorph in meV per atom: 961.5


Tl3Cu: relaxed, PBE.

CIF file:
```
data_Tl3Cu
_cell_length_a 10.2628
_cell_length_b 10.2628
_cell_length_c 3.5048
_cell_angle_alpha 90.00
_cell_angle_beta 90.00
_cell_angle_gamma 120.00
_symmetry_space_group_name_H-M 'R -3 m'
_symmetry_Int_Tables_number 166
_symmetry_space_group_name_Hall '-R 3 2"'
loop_
_atom_site_label
_atom_site_fract_x
_atom_site_fract_y
_atom_site_fract_z
Tl1 0.0000 0.5000 0.0000
Cu1 0.0000 0.0000 0.0000
```


Tl3Cu: relaxed, PBE.

CIF file:
```
data_Tl3Cu
_cell_length_a 3.6807
_cell_length_b 3.6807
_cell_length_c 27.4576
_cell_angle_alpha 90.00
_cell_angle_beta 90.00
_cell_angle_gamma 120.00
_symmetry_space_group_name_H-M 'R -3 m'
_symmetry_Int_Tables_number 166
_symmetry_space_group_name_Hall '-R 3 2"'
loop_
_atom_site_label
_atom_site_fract_x
_atom_site_fract_y
_atom_site_fract_z
Tl1 0.0000 0.0000 0.0000
Tl2 0.0000 0.0000 0.2327
Cu1 0.0000 0.0000 0.5000
```


Tl3Cu: relaxed, PBE.

CIF file:
```
data_Tl3Cu
_cell_length_a 6.352
_cell_length_b 9.898
_cell_length_c 3.356
_cell_angle_alpha 90.00
_cell_angle_beta 90.00
_cell_angle_gamma 90.00
_symmetry_space_group_name_H-M 'C m m m'
_symmetry_Int_Tables_number 65
_symmetry_space_group_name_Hall '-C 2 2'
loop_
_atom_site_label
_atom_site_fract_x
_atom_site_fract_y
_atom_site_fract_z
Tl1 0.000 0.000 0.000
Tl2 0.250 0.250 0.500
Cu1 0.000 0.500 0.000
```


TlCu2: relaxed, PBE.

CIF file:
```
data_TlCu2
_cell_length_a 3.414
_cell_length_b 13.282
_cell_length_c 4.362
_cell_angle_alpha 90.00
_cell_angle_beta 90.00
_cell_angle_gamma 90.00
_symmetry_space_group_name_H-M 'C m c m'
_symmetry_Int_Tables_number 63
_symmetry_space_group_name_Hall '-C 2c 2'
loop_
_atom_site_label
_atom_site_fract_x
_atom_site_fract_y
_atom_site_fract_z
Tl1 0.000 0.098 0.250
Cu1 0.000 0.234 0.750
Cu2 0.000 0.416 0.250
```


| no. | DFT formation energy (eV/f.u.) | calculated total energy (eV/atom) | magnetization (μB per atom) |
| --- | --- | --- | --- |
| 1 | 0.69 | -2.627 | 0.000 |
| 2 | 6.10 | -2.530 | 0.000 |
| 3 | 1.27 | -2.482 | 0.000 |
| 4 | 0.70 | -2.624 | 0.000 |
| 5 | 1.22 | -2.493 | 0.000 |
| 6 | 0.90 | -3.220 | 0.000 |